Entry from Alexandria: crystalline LiV3O5F at its relaxed geometry (PBE with a Hubbard U). Values from VASP.

excess energy over the best structure of this formula in the dataset = 0.000 eV per formula unit
SG = P1, No. 1

The structure in Quantum ESPRESSO input format:
```
&SYSTEM
  ibrav = 0, nat = 20, ntyp = 4
/
ATOMIC_SPECIES
F 19.00 F.upf
Li 6.94 Li.upf
V 50.94 V.upf
O 16.00 O.upf
CELL_PARAMETERS angstrom
5.095 0.002 0.004
-0.051 8.976 0.007
-2.445 -1.680 4.650
ATOMIC_POSITIONS angstrom
F 0.764 7.404 3.497
F -1.730 2.913 3.363
Li 2.636 7.331 2.802
Li 0.216 2.865 2.827
V -0.132 6.051 0.270
V -0.023 5.752 4.558
V -0.025 0.105 2.010
V 2.651 1.267 4.464
V 2.497 4.533 2.036
V 2.478 1.543 0.244
O 1.596 3.010 1.107
O 1.677 -0.111 1.064
O 0.931 1.029 3.478
O -1.688 5.499 3.546
O -1.405 -0.080 3.443
O 1.084 4.454 3.562
O 4.357 1.460 1.101
O 1.656 6.001 1.139
O 4.144 7.493 1.156
O 4.304 4.462 0.942
```

***

Entry from Alexandria: crystalline LiV3O5F at its relaxed geometry (PBE with a Hubbard U). Values from VASP.

excess energy over the best structure of this formula in the dataset = 0.689 eV per formula unit
SG = P1, No. 1

The structure in Quantum ESPRESSO input format:
```
&SYSTEM
  ibrav = 0, nat = 10, ntyp = 4
/
ATOMIC_SPECIES
F 19.00 F.upf
V 50.94 V.upf
O 16.00 O.upf
Li 6.94 Li.upf
CELL_PARAMETERS angstrom
5.127 0.221 -0.931
-2.266 4.987 0.998
-0.938 -2.698 4.364
ATOMIC_POSITIONS angstrom
F 2.414 0.939 2.189
V 1.482 1.940 3.842
V 3.149 -0.730 0.945
V 0.787 1.408 0.738
O -1.007 4.426 1.384
O -0.584 -1.475 3.156
O 0.222 2.247 2.523
O 4.027 0.698 -0.092
O 1.752 3.125 0.486
Li -1.689 2.671 2.618
```

***

Entry from Alexandria: crystalline LiV3O5F at its relaxed geometry (PBE with a Hubbard U). Values from VASP.

excess energy over the best structure of this formula in the dataset = 0.690 eV per formula unit
SG = P1, No. 1

The structure in Quantum ESPRESSO input format:
```
&SYSTEM
  ibrav = 0, nat = 10, ntyp = 4
/
ATOMIC_SPECIES
V 50.94 V.upf
F 19.00 F.upf
O 16.00 O.upf
Li 6.94 Li.upf
CELL_PARAMETERS angstrom
-6.150 -0.113 -0.016
3.078 4.392 0.610
-0.165 -3.442 -4.855
ATOMIC_POSITIONS angstrom
V 1.078 3.108 -0.212
V -5.486 -1.347 -2.266
V -3.412 0.730 -2.928
F -2.114 0.860 -1.234
O 0.689 0.406 -3.180
O -5.201 -2.179 -4.063
O -3.102 3.276 0.182
O -3.641 -1.105 -1.944
O 1.990 2.489 -1.933
Li -3.131 -2.167 -3.742
```

***

Entry from Alexandria: crystalline Li2VOF5 at its relaxed geometry (PBE with a Hubbard U). Values from VASP.

SG = Pc, No. 7
VASP energy = -5.459 eV per atom

The structure in Quantum ESPRESSO input format:
```
&SYSTEM
  ibrav = 0, nat = 18, ntyp = 4
/
ATOMIC_SPECIES
F 19.00 F.upf
V 50.94 V.upf
Li 6.94 Li.upf
O 16.00 O.upf
CELL_PARAMETERS angstrom
-1.563 -4.659 2.262
3.377 0.582 3.533
-2.334 4.550 7.758
ATOMIC_POSITIONS angstrom
F 0.202 0.083 10.672
F 0.119 0.854 8.195
F -1.384 -2.421 6.536
F 1.258 -1.503 4.356
F 1.133 2.925 6.841
F 2.310 0.612 5.431
F 1.500 -1.236 7.498
F 0.745 -3.983 5.213
F -1.099 4.183 8.313
F 0.947 2.867 10.489
V -2.252 -1.010 5.594
V -0.418 -1.296 0.749
Li 0.548 1.285 6.110
Li -1.436 1.123 11.173
Li 0.582 -2.364 6.188
Li 0.427 2.926 8.603
O -2.084 2.236 9.595
O -0.926 -0.066 5.729
```

***

Entry from Alexandria: crystalline Li7VO5F at its relaxed geometry (PBE with a Hubbard U). Values from VASP.

excess energy over the best structure of this formula in the dataset = 0.171 eV per formula unit
SG = P1, No. 1

The structure in Quantum ESPRESSO input format:
```
&SYSTEM
  ibrav = 0, nat = 14, ntyp = 4
/
ATOMIC_SPECIES
Li 6.94 Li.upf
F 19.00 F.upf
O 16.00 O.upf
V 50.94 V.upf
CELL_PARAMETERS angstrom
-3.910 -1.488 -4.102
1.407 -3.359 4.015
-3.161 5.904 0.922
ATOMIC_POSITIONS angstrom
Li -3.188 -2.485 -1.399
Li -2.841 2.114 3.212
Li -5.361 2.142 -2.811
Li -1.159 -1.886 0.867
Li -4.317 0.165 -1.428
Li -2.016 1.004 0.757
Li -3.455 2.918 -0.854
F -2.485 0.545 -0.989
O -2.889 -2.711 0.480
O -0.757 -0.182 1.686
O -3.022 4.433 0.379
O -3.608 1.357 1.683
O -5.212 1.920 -0.860
V -5.237 1.398 1.039
```

***

Entry from Alexandria: crystalline LiV6O7F5 at its relaxed geometry (PBE with a Hubbard U). Values from VASP.

excess energy over the best structure of this formula in the dataset = 0.655 eV per formula unit
SG = P1, No. 1

The structure in Quantum ESPRESSO input format:
```
&SYSTEM
  ibrav = 0, nat = 19, ntyp = 4
/
ATOMIC_SPECIES
F 19.00 F.upf
O 16.00 O.upf
V 50.94 V.upf
Li 6.94 Li.upf
CELL_PARAMETERS angstrom
-0.693 -2.686 -3.989
-3.505 -3.591 2.682
-6.480 3.896 -1.876
ATOMIC_POSITIONS angstrom
F -4.999 -3.122 1.423
F -7.036 1.919 -1.579
F -8.955 -0.311 -0.730
F -4.604 -1.807 -3.051
F -6.021 -0.541 -0.106
O -4.414 0.895 -1.964
O -7.253 -0.690 -2.749
O -3.411 -1.598 -0.419
O -1.837 -2.176 -2.396
O -5.595 0.692 -4.554
O -6.248 -3.345 -1.255
O -3.665 -4.355 -1.568
V -7.141 1.293 -5.679
V -6.092 -1.212 -4.327
V -2.367 -3.244 -0.786
V -3.076 -0.632 -2.139
V -5.111 -3.818 -2.790
V -7.499 -1.869 -1.141
Li -6.168 0.866 -2.782
```

***

Entry from Alexandria: crystalline Li3V4O3F9 at its relaxed geometry (PBE with a Hubbard U). Values from VASP.

excess energy over the best structure of this formula in the dataset = 0.000 eV per formula unit
SG = P1, No. 1

The structure in Quantum ESPRESSO input format:
```
&SYSTEM
  ibrav = 0, nat = 19, ntyp = 4
/
ATOMIC_SPECIES
Li 6.94 Li.upf
F 19.00 F.upf
V 50.94 V.upf
O 16.00 O.upf
CELL_PARAMETERS angstrom
5.916 0.051 -0.028
-0.944 5.797 0.045
-1.056 -1.102 5.971
ATOMIC_POSITIONS angstrom
Li 4.051 3.437 2.207
Li 1.016 3.326 0.679
Li -0.857 5.766 0.124
F 0.106 2.970 2.492
F 0.948 5.299 0.849
F 4.514 3.958 0.250
F -0.936 0.847 5.573
F -1.052 4.699 4.244
F 5.168 0.339 1.849
F 2.866 -0.604 5.464
F 2.467 4.374 2.840
F 2.752 2.219 1.012
V 2.767 1.431 5.020
V 3.117 0.512 2.001
V 0.860 4.204 4.032
V -0.125 1.151 3.683
O 1.745 0.388 3.409
O 3.870 1.767 3.430
O 1.023 2.432 4.785
```

***

Entry from Alexandria: crystalline Li7V4O11F at its relaxed geometry (PBE with a Hubbard U). Values from VASP.

excess energy over the best structure of this formula in the dataset = 0.471 eV per formula unit
SG = P1, No. 1

The structure in Quantum ESPRESSO input format:
```
&SYSTEM
  ibrav = 0, nat = 23, ntyp = 4
/
ATOMIC_SPECIES
O 16.00 O.upf
Li 6.94 Li.upf
V 50.94 V.upf
F 19.00 F.upf
CELL_PARAMETERS angstrom
5.026 0.024 0.027
-2.201 4.577 0.005
-0.462 -0.938 9.307
ATOMIC_POSITIONS angstrom
O 1.834 3.995 0.153
O 2.177 2.360 4.604
O 2.329 -0.433 4.668
O 0.659 2.272 2.295
O 4.006 -0.474 6.962
O 1.783 1.540 7.144
O 3.102 0.928 2.365
O -1.023 2.255 0.053
O 0.769 -0.271 9.275
O -0.681 2.711 7.058
O -1.657 4.269 2.513
Li -0.987 2.619 3.544
Li -0.003 3.853 1.153
Li 2.205 2.224 1.045
Li 3.246 1.086 5.826
Li 2.405 -0.163 8.169
Li 0.037 1.039 7.928
Li 1.609 3.834 3.359
V 1.582 0.917 3.482
V -0.301 0.947 1.144
V 0.852 2.849 5.916
V 2.744 2.839 8.151
F -0.117 1.292 4.771
```

***

Entry from Alexandria: crystalline LiV6O7F5 at its relaxed geometry (PBE with a Hubbard U). Values from VASP.

excess energy over the best structure of this formula in the dataset = 0.634 eV per formula unit
SG = P1, No. 1

The structure in Quantum ESPRESSO input format:
```
&SYSTEM
  ibrav = 0, nat = 19, ntyp = 4
/
ATOMIC_SPECIES
O 16.00 O.upf
V 50.94 V.upf
Li 6.94 Li.upf
F 19.00 F.upf
CELL_PARAMETERS angstrom
4.852 -0.002 0.000
0.109 5.687 -0.003
0.117 0.617 7.733
ATOMIC_POSITIONS angstrom
O 1.727 5.071 6.968
O 1.607 1.124 4.389
O 3.325 1.138 0.800
O 3.502 5.179 3.384
O 3.969 4.043 0.724
O 4.074 2.382 3.410
O 1.031 2.216 6.950
V 2.703 1.286 2.743
V 4.959 0.613 7.697
V 0.239 2.251 5.115
V 4.737 4.023 2.541
V 2.546 3.331 7.677
V 2.522 5.219 5.116
Li 2.517 5.186 0.748
F 4.005 0.637 5.876
F 1.073 3.977 4.335
F 1.082 5.679 1.813
F 3.519 3.469 5.836
F 1.572 2.906 1.859
```

***

Entry from Alexandria: crystalline Li7VO5F at its relaxed geometry (PBE with a Hubbard U). Values from VASP.

excess energy over the best structure of this formula in the dataset = 0.527 eV per formula unit
SG = P1, No. 1

The structure in Quantum ESPRESSO input format:
```
&SYSTEM
  ibrav = 0, nat = 14, ntyp = 4
/
ATOMIC_SPECIES
O 16.00 O.upf
Li 6.94 Li.upf
V 50.94 V.upf
F 19.00 F.upf
CELL_PARAMETERS angstrom
5.540 0.033 0.000
2.712 4.885 -0.016
2.646 1.696 4.823
ATOMIC_POSITIONS angstrom
O 4.193 4.941 1.168
O 3.633 3.022 3.658
O 7.483 3.444 1.123
O 6.623 1.868 3.783
O 6.104 5.023 3.610
Li 6.103 4.798 1.469
Li 7.377 3.570 3.191
Li 4.775 1.473 3.293
Li 3.714 3.090 1.727
Li 4.166 4.855 3.161
Li 5.295 3.451 4.623
Li 6.519 1.923 1.583
V 5.442 6.426 4.719
F 4.636 1.512 1.309
```

***

Entry from Alexandria: crystalline Li5VO4F at its relaxed geometry (PBE with a Hubbard U). Values from VASP.

SG = Cc, No. 9
VASP energy = -5.675 eV per atom

The structure in Quantum ESPRESSO input format:
```
&SYSTEM
  ibrav = 0, nat = 22, ntyp = 4
/
ATOMIC_SPECIES
Li 6.94 Li.upf
O 16.00 O.upf
F 19.00 F.upf
V 50.94 V.upf
CELL_PARAMETERS angstrom
5.344 0.006 -0.004
-2.213 4.864 -0.004
0.994 1.545 8.770
ATOMIC_POSITIONS angstrom
Li 2.156 5.301 8.291
Li -1.313 3.546 0.545
Li -0.221 5.375 3.819
Li 3.616 2.827 6.529
Li 3.431 3.389 3.906
Li 1.965 1.071 0.483
Li 0.574 3.691 2.144
Li 0.655 3.005 4.868
Li 4.268 1.050 4.930
Li 5.479 2.803 8.204
O 4.966 2.099 3.450
O 2.428 1.956 5.126
O 5.224 1.668 6.605
O 0.275 2.248 0.741
O -1.147 4.672 2.220
O 0.345 6.161 7.835
O -0.872 4.287 5.369
O 3.765 0.214 0.984
F 3.839 4.034 8.149
F 1.580 4.395 3.764
V 5.022 1.013 2.017
V -0.666 5.762 6.402
```

***

Entry from Alexandria: crystalline Li2VOF5 at its relaxed geometry (PBE with a Hubbard U). Values from VASP.

SG = Imm2, No. 44
VASP energy = -5.445 eV per atom

The structure in Quantum ESPRESSO input format:
```
&SYSTEM
  ibrav = 0, nat = 9, ntyp = 4
/
ATOMIC_SPECIES
F 19.00 F.upf
Li 6.94 Li.upf
V 50.94 V.upf
O 16.00 O.upf
CELL_PARAMETERS angstrom
-2.427 -3.747 -3.096
2.948 -2.576 3.767
-3.867 3.131 2.182
ATOMIC_POSITIONS angstrom
F -0.904 0.367 4.166
F 0.029 -1.903 0.182
F -0.524 0.138 1.708
F 0.239 -4.445 0.452
F -2.006 -0.196 -0.291
Li 0.056 -3.020 1.831
Li -3.350 -0.167 1.028
V -6.251 -0.612 -0.908
O -4.626 -0.453 -0.672
```

***

Entry from Alexandria: crystalline Li4V7O9F7 at its relaxed geometry (PBE with a Hubbard U). Values from VASP.

SG = Cm, No. 8
VASP energy = -6.723 eV per atom

The structure in Quantum ESPRESSO input format:
```
&SYSTEM
  ibrav = 0, nat = 27, ntyp = 4
/
ATOMIC_SPECIES
F 19.00 F.upf
V 50.94 V.upf
O 16.00 O.upf
Li 6.94 Li.upf
CELL_PARAMETERS angstrom
0.644 -3.317 -5.014
4.192 -4.349 -0.263
-4.947 -9.288 1.678
ATOMIC_POSITIONS angstrom
F 1.632 -4.693 -4.026
F -3.426 -9.626 -1.441
F -1.649 -10.143 0.939
F 0.870 -9.852 -0.881
F 3.296 -5.177 -1.798
F -0.906 -9.336 -3.259
F 0.967 -11.402 -3.198
V -1.176 -14.006 -2.164
V 0.787 -11.904 -1.168
V 1.501 -6.837 -4.529
V 3.291 -7.358 -2.132
V 1.088 -5.148 -1.931
V -1.079 -11.361 -3.666
V -1.271 -5.465 -0.237
O -1.424 -7.454 -0.555
O 1.348 -7.022 -2.532
O 0.747 -5.473 -0.016
O 3.509 -6.644 -4.064
O -0.863 -5.005 -2.172
O -1.128 -3.472 0.089
O 1.107 -3.178 -1.517
O -3.574 -8.091 0.912
O -1.167 -12.070 -1.750
Li -0.062 -8.342 -1.765
Li -0.104 -16.829 -3.577
Li 2.372 -10.179 -3.982
Li -2.499 -11.153 -0.556
```

***

Entry from Alexandria: crystalline Li3V2OF7 at its relaxed geometry (PBE with a Hubbard U). Values from VASP.

SG = Cm, No. 8
VASP energy = -5.758 eV per atom

The structure in Quantum ESPRESSO input format:
```
&SYSTEM
  ibrav = 0, nat = 13, ntyp = 4
/
ATOMIC_SPECIES
Li 6.94 Li.upf
F 19.00 F.upf
V 50.94 V.upf
O 16.00 O.upf
CELL_PARAMETERS angstrom
-1.788 -3.694 -4.209
4.210 -2.361 -3.355
1.194 -5.789 0.644
ATOMIC_POSITIONS angstrom
Li 1.026 -4.323 -0.458
Li 2.573 -7.484 -6.392
Li 1.822 -5.948 -3.516
F 0.882 -2.862 -1.730
F 3.523 -6.899 -2.969
F 3.055 -4.200 -3.527
F 1.533 -6.036 -1.349
F 0.027 -4.873 -3.958
F 2.740 -9.011 -5.182
F 0.593 -7.550 -3.386
V 0.394 -4.940 -5.872
V 3.273 -4.300 -5.462
O 2.078 -5.784 -5.564
```

***

Entry from Alexandria: crystalline LiV2O5F at its relaxed geometry (PBE with a Hubbard U). Values from VASP.

SG = P2_12_12, No. 18
VASP energy = -6.835 eV per atom

The structure in Quantum ESPRESSO input format:
```
&SYSTEM
  ibrav = 0, nat = 36, ntyp = 4
/
ATOMIC_SPECIES
O 16.00 O.upf
V 50.94 V.upf
Li 6.94 Li.upf
F 19.00 F.upf
CELL_PARAMETERS angstrom
-0.888 -4.833 0.550
5.302 -0.784 1.671
-3.832 2.205 13.192
ATOMIC_POSITIONS angstrom
O -0.610 -1.326 3.606
O -2.973 0.474 12.231
O 0.922 -0.627 9.156
O 0.320 -2.758 13.993
O -2.821 -1.493 10.542
O 1.935 -1.656 4.522
O 1.569 -3.164 9.822
O 4.126 -1.225 2.639
O 1.691 0.299 11.340
O 1.264 -1.036 1.987
O -1.829 -0.501 8.125
O 1.316 -3.030 6.779
O 2.866 -0.817 6.806
O 0.370 -3.910 4.415
O -1.453 -2.339 6.071
O -0.917 0.665 10.642
O 2.903 -4.303 5.338
O -2.339 -2.131 12.904
O -0.224 -1.923 11.247
O -0.298 -3.316 1.968
V -3.761 -2.940 11.783
V 0.632 0.924 9.886
V -0.268 0.210 2.177
V 1.090 -4.505 5.887
V 0.994 -2.265 3.187
V 3.179 -2.474 6.384
V -1.552 -0.978 11.867
V 2.013 -1.619 10.483
Li 4.324 -3.121 1.778
Li -0.100 -1.648 7.583
Li 3.042 -0.450 0.959
Li -1.381 1.024 6.765
F -0.628 -0.110 13.259
F 0.391 -0.158 6.226
F -0.871 -3.096 8.853
F 2.272 -3.458 2.490
```

***

Entry from Alexandria: crystalline Li2VOF3 at its relaxed geometry (PBE with a Hubbard U). Values from VASP.

excess energy over the best structure of this formula in the dataset = 0.107 eV per formula unit
SG = C2/m, No. 12

The structure in Quantum ESPRESSO input format:
```
&SYSTEM
  ibrav = 0, nat = 14, ntyp = 4
/
ATOMIC_SPECIES
Li 6.94 Li.upf
F 19.00 F.upf
V 50.94 V.upf
O 16.00 O.upf
CELL_PARAMETERS angstrom
-1.915 -0.605 -5.630
-0.817 -5.466 -2.231
-3.772 1.983 4.167
ATOMIC_POSITIONS angstrom
Li -3.252 -2.044 -1.847
Li -2.295 -1.742 0.968
Li -1.971 -4.762 -3.701
Li -4.533 0.674 0.007
F -4.862 -2.944 -2.751
F -1.642 -1.145 -0.943
F -3.822 -2.799 -0.024
F -2.682 -1.289 -3.670
F -2.043 -3.724 -2.004
F -4.461 -0.364 -1.690
V -0.408 -2.733 -1.115
V -1.886 0.992 2.083
O -3.106 -4.048 -5.107
O -3.398 -0.040 1.413
```